No. 1
This record from Alexandria via LeMat-Bulk describes a geometry-optimized Mg2Pa2Zn15 structure. The functional is PBE.

Cell lengths 6.868, 6.868, 6.868 Å; angles 82.28, 82.28, 82.28 degrees
Fractional positions:
1 Zn 0.000 0.500 0.000
2 Zn 0.159 0.643 0.643
3 Zn 0.000 0.703 0.297
4 Zn 0.357 0.841 0.357
5 Zn 0.000 0.000 0.500
6 Zn 0.297 0.703 0.000
7 Zn 0.703 0.000 0.297
8 Zn 0.357 0.357 0.841
9 Zn 0.643 0.159 0.643
10 Zn 0.841 0.357 0.357
11 Zn 0.500 0.000 0.000
12 Pa 0.657 0.657 0.657
13 Mg 0.104 0.104 0.104
14 Zn 0.703 0.297 0.000
15 Zn 0.297 0.000 0.703
16 Pa 0.343 0.343 0.343
17 Zn 0.643 0.643 0.159
18 Zn 0.000 0.297 0.703
19 Mg 0.896 0.896 0.896

The calculation puts the total DFT energy (no corrections) at -2.28 eV per atom. The formation energy is -0.105 eV per atom.

No. 2
This record from Alexandria via LeMat-Bulk describes a geometry-optimized Ba2LaTiCu structure. The functional is PBE.

Cell lengths 6.066, 5.720, 6.066 Å; angles 90.00, 90.00, 90.00 degrees
Fractional positions:
1 Ti 0.500 0.500 0.500
2 La 0.000 0.500 0.000
3 Ba 0.500 0.000 0.000
4 Ba 0.000 0.000 0.500
5 Cu 0.000 0.000 0.000

The calculation puts the total DFT energy (no corrections) at -3.52 eV per atom. The formation energy is 0.638 eV per atom.

No. 3
This record from Alexandria via LeMat-Bulk describes a geometry-optimized PAu2Se4 structure. The functional is PBE.

Cell lengths 6.372, 6.372, 6.552 Å; angles 119.10, 119.10, 90.00 degrees
Fractional positions:
1 Se 0.601 0.601 0.767
2 Au 0.250 0.750 0.500
3 Au 0.750 0.250 0.500
4 Se 0.399 0.834 0.233
5 P 0.500 0.500 0.000
6 Se 0.166 0.166 0.767
7 Se 0.834 0.399 0.233

The calculation puts the total DFT energy (no corrections) at -3.67 eV per atom.

No. 4
This record from Alexandria via LeMat-Bulk describes a geometry-optimized CdH6BrN2 structure. The functional is PBE.

Cell lengths 6.816, 6.816, 5.953 Å; angles 90.01, 90.01, 81.25 degrees
Fractional positions:
1 H 0.013 0.500 0.750
2 H 0.472 0.805 0.111
3 H 0.195 0.528 0.111
4 Br 0.332 0.668 0.750
5 H 0.500 0.013 0.250
6 H 0.528 0.195 0.611
7 N 0.430 0.890 0.250
8 H 0.805 0.472 0.611
9 H 0.987 0.500 0.250
10 N 0.570 0.110 0.750
11 H 0.805 0.472 0.889
12 N 0.890 0.430 0.750
13 H 0.472 0.805 0.389
14 H 0.500 0.987 0.750
15 Cd 0.077 0.923 0.250
16 H 0.528 0.195 0.889
17 N 0.110 0.570 0.250
18 Cd 0.923 0.077 0.750
19 Br 0.668 0.332 0.250
20 H 0.195 0.528 0.389

The calculation puts the total DFT energy (no corrections) at -4.32 eV per atom.

No. 5
This record from Alexandria via LeMat-Bulk describes a geometry-optimized Sc3Zn4Cd2 structure. The functional is PBE.

Cell lengths 4.547, 5.575, 8.462 Å; angles 116.31, 90.00, 114.07 degrees
Fractional positions:
1 Zn 0.954 0.908 0.614
2 Sc 0.662 0.324 0.674
3 Sc 0.338 0.676 0.326
4 Zn 0.737 0.474 0.060
5 Sc 0.000 0.000 0.000
6 Cd 0.621 0.242 0.285
7 Cd 0.379 0.758 0.715
8 Zn 0.046 0.092 0.386
9 Zn 0.263 0.526 0.940

The calculation puts the total DFT energy (no corrections) at -3.17 eV per atom. The formation energy is -0.295 eV per atom.

No. 6
This record from Alexandria via LeMat-Bulk describes a geometry-optimized SrLi2Pd2 structure. The functional is PBE.

Cell lengths 7.793, 7.793, 3.070 Å; angles 90.00, 90.00, 90.00 degrees
Fractional positions:
1 Li 0.128 0.628 0.500
2 Sr 0.000 0.000 0.000
3 Pd 0.342 0.842 0.000
4 Li 0.872 0.372 0.500
5 Sr 0.500 0.500 0.000
6 Pd 0.158 0.342 0.000
7 Pd 0.658 0.158 0.000
8 Li 0.628 0.872 0.500
9 Li 0.372 0.128 0.500
10 Pd 0.842 0.658 0.000

The calculation puts the total DFT energy (no corrections) at -3.51 eV per atom. The formation energy is -0.326 eV per atom. The energy above the most stable polymorph in this dataset comes out at 104 meV/atom.